#P
CuPd7Au4 after structural relaxation. Source: Alexandria via LeMat-Bulk, functional PBE.

Lattice parameters (Å, degrees): 4.7958 9.1610 5.4908 84.15 64.11 74.83
Closest atoms and distances in Å follow each position.
Atoms (fractional coordinates):
Cu1 0.0000 0.0000 0.0000  4 Pd 2.40-2.44
Pd1 0.0367 0.6185 0.3081  5 Pd 2.74-2.85, 4 Au 2.80-2.89
Pd2 0.9633 0.3815 0.6919  5 Pd 2.74-2.85, 4 Au 2.80-2.89
Pd3 0.3459 0.5365 0.7717  4 Pd 2.74-2.79, 5 Au 2.74-2.88
Pd4 0.8038 0.9208 0.4717  1 Cu 2.44, 1 Pd 2.69
Pd5 0.1962 0.0792 0.5283  1 Cu 2.44, 1 Pd 2.69
Pd6 0.5000 0.0000 0.0000  2 Cu 2.40
Pd7 0.6541 0.4635 0.2283  4 Pd 2.74-2.79, 5 Au 2.74-2.88
Au1 0.4043 0.7731 0.4183  8 Pd 2.74-2.90, 1 Au 2.83
Au2 0.5957 0.2269 0.5817  8 Pd 2.74-2.90, 1 Au 2.83
Au3 0.2778 0.3038 0.1406  7 Pd 2.77-2.89, 1 Au 2.83
Au4 0.7222 0.6962 0.8594  7 Pd 2.77-2.89, 1 Au 2.83

calculated density: 12.657 g/cm³
spin magnetization: 0.00 μB/f.u.
V: 17.45 Å³ per atom

=====

#Q
CuPd7Au4 after structural relaxation. Source: Alexandria via LeMat-Bulk, functional PBE.

Lattice parameters (Å, degrees): 5.6717 4.9167 8.5178 73.17 59.66 89.70
Closest atoms and distances in Å follow each position.
Atoms (fractional coordinates):
Pd1 0.7557 0.1660 0.3268  5 Pd 2.77-2.90, 1 Cu 2.78, 6 Au 2.81-2.90
Pd2 0.2443 0.8340 0.6732  5 Pd 2.77-2.90, 1 Cu 2.78, 6 Au 2.81-2.90
Pd3 0.9971 0.3286 0.6735  5 Pd 2.78-2.93, 1 Cu 2.79, 6 Au 2.80-2.91
Pd4 0.5000 0.0000 0.0000  6 Pd 2.80-2.86, 4 Au 2.82-2.83, 2 Cu 2.84
Pd5 0.2429 0.5016 0.0016  7 Pd 2.77-2.90, 2 Cu 2.80-2.84, 3 Au 2.82-2.84
Pd6 0.0029 0.6714 0.3265  5 Pd 2.78-2.93, 1 Cu 2.79, 6 Au 2.80-2.91
Pd7 0.7571 0.4984 0.9984  7 Pd 2.77-2.90, 2 Cu 2.80-2.84, 3 Au 2.82-2.84
Au1 0.4914 0.3278 0.6721  1 Cu 2.78, 8 Pd 2.80-2.91, 3 Au 2.85-2.88
Au2 0.5086 0.6722 0.3279  1 Cu 2.78, 8 Pd 2.80-2.91, 3 Au 2.85-2.88
Au3 0.7499 0.8284 0.6685  9 Pd 2.82-2.89, 3 Au 2.85-2.86
Au4 0.2501 0.1716 0.3315  9 Pd 2.82-2.89, 3 Au 2.85-2.86
Cu1 0.0000 0.0000 0.0000  2 Au 2.78, 10 Pd 2.78-2.84

calculated density: 13.711 g/cm³
spin magnetization: 0.00 μB/f.u.
V: 16.11 Å³ per atom

=====

Most stable one: #Q, least stable one: #P.

=====

#P
CuPd2Au3 after structural relaxation. Source: Alexandria via LeMat-Bulk, functional PBE.

Lattice parameters (Å, degrees): 4.9859 4.9799 9.2626 84.67 79.31 59.96
Closest atoms and distances in Å follow each position.
Atoms (fractional coordinates):
Au1 0.4185 0.6622 0.7563  2 Cu 2.76-2.77, 4 Pd 2.78-2.88, 6 Au 2.85-2.92
Au2 0.0807 0.3378 0.7563  2 Cu 2.76-2.77, 4 Pd 2.78-2.88, 6 Au 2.85-2.92
Au3 0.7427 0.0000 0.7575  2 Cu 2.75, 4 Pd 2.79-2.87, 6 Au 2.85-2.92
Au4 0.2573 0.0000 0.2425  2 Cu 2.75, 4 Pd 2.79-2.87, 6 Au 2.85-2.92
Au5 0.9193 0.6622 0.2437  2 Cu 2.76-2.77, 4 Pd 2.78-2.88, 6 Au 2.85-2.92
Au6 0.5815 0.3378 0.2437  2 Cu 2.76-2.77, 4 Pd 2.78-2.88, 6 Au 2.85-2.92
Pd1 0.1660 0.6680 0.5000  6 Au 2.85-2.88, 6 Pd 2.86-2.88
Pd2 0.0000 0.0000 0.0000  6 Au 2.78-2.79, 6 Cu 2.87-2.88
Pd3 0.5000 0.0000 0.5000  6 Au 2.87, 6 Pd 2.87-2.88
Pd4 0.8340 0.3320 0.5000  6 Au 2.85-2.88, 6 Pd 2.86-2.88
Cu1 0.6675 0.6651 0.0000  6 Au 2.75-2.77, 3 Pd 2.87-2.88, 3 Cu 2.87-2.89
Cu2 0.3325 0.3349 0.0000  6 Au 2.75-2.77, 3 Pd 2.87-2.88, 3 Cu 2.87-2.89

calculated density: 14.723 g/cm³
spin magnetization: 0.00 μB/f.u.
V: 16.30 Å³ per atom

=====

#Q
CuPd2Au3 after structural relaxation. Source: Alexandria via LeMat-Bulk, functional PBE.

Lattice parameters (Å, degrees): 4.0748 6.3769 7.9076 90.00 90.01 71.37
Closest atoms and distances in Å follow each position.
Atoms (fractional coordinates):
Au1 0.4995 0.0000 0.2456  2 Cu 2.79, 6 Pd 2.81-2.86, 4 Au 2.88
Au2 0.5005 0.0000 0.7544  2 Cu 2.79, 6 Pd 2.81-2.86, 4 Au 2.88
Au3 0.8315 0.3376 0.7596  3 Cu 2.76-2.79, 5 Pd 2.79-2.89, 4 Au 2.83-2.88
Au4 0.8308 0.3376 0.2404  3 Cu 2.76-2.79, 5 Pd 2.79-2.89, 4 Au 2.83-2.88
Au5 0.1685 0.6624 0.2404  3 Cu 2.76-2.79, 5 Pd 2.79-2.89, 4 Au 2.83-2.88
Au6 0.1692 0.6624 0.7596  3 Cu 2.76-2.79, 5 Pd 2.79-2.89, 4 Au 2.83-2.88
Pd1 0.0000 0.0000 0.0000  8 Au 2.79-2.82, 4 Cu 2.85
Pd2 0.0000 0.0000 0.5000  8 Au 2.86-2.89, 4 Pd 2.87
Pd3 0.3330 0.3341 0.5000  8 Au 2.85-2.89, 4 Pd 2.86-2.87
Pd4 0.6670 0.6659 0.5000  8 Au 2.85-2.89, 4 Pd 2.86-2.87
Cu1 0.6653 0.6694 0.0000  8 Au 2.76-2.79, 2 Pd 2.85, 2 Cu 2.89
Cu2 0.3347 0.3306 0.0000  8 Au 2.76-2.79, 2 Pd 2.85, 2 Cu 2.89

calculated density: 14.793 g/cm³
spin magnetization: 0.00 μB/f.u.
V: 16.23 Å³ per atom

=====

Most stable one: #Q, least stable one: #P.

=====

#P
Cu2Pd12Au5 after structural relaxation. Source: Alexandria via LeMat-Bulk, functional PBE.

Lattice parameters (Å, degrees): 7.5029 9.7484 6.5974 131.52 90.00 112.63
Closest atoms and distances in Å follow each position.
Atoms (fractional coordinates):
Pd1 0.5541 0.1082 0.7842  2 Cu 2.62, 7 Pd 2.66-2.81, 2 Au 2.70-2.81
Pd2 0.5764 0.7564 0.4208  6 Pd 2.66-2.97, 1 Cu 2.72, 4 Au 2.74-2.93
Pd3 0.6649 0.6990 0.9406  1 Cu 2.64, 4 Pd 2.72-2.91, 4 Au 2.81-2.92
Pd4 0.0867 0.1733 0.2814  5 Pd 2.62-2.79, 2 Cu 2.72, 3 Au 2.78-2.81
Pd5 0.3351 0.3010 0.0594  1 Cu 2.64, 4 Pd 2.72-2.91, 4 Au 2.81-2.92
Pd6 0.8200 0.2436 0.5792  6 Pd 2.66-2.97, 1 Cu 2.72, 4 Au 2.74-2.93
Pd7 0.1800 0.7564 0.4208  6 Pd 2.66-2.97, 1 Cu 2.72, 4 Au 2.74-2.93
Pd8 0.9133 0.8267 0.7186  5 Pd 2.62-2.79, 2 Cu 2.72, 3 Au 2.78-2.81
Pd9 0.4459 0.8918 0.2158  2 Cu 2.62, 7 Pd 2.66-2.81, 2 Au 2.70-2.81
Pd10 0.4236 0.2436 0.5792  6 Pd 2.66-2.97, 1 Cu 2.72, 4 Au 2.74-2.93
Pd11 0.0340 0.6990 0.9406  1 Cu 2.64, 4 Pd 2.72-2.91, 4 Au 2.81-2.92
Pd12 0.9660 0.3010 0.0594  1 Cu 2.64, 4 Pd 2.72-2.91, 4 Au 2.81-2.92
Au1 0.6954 0.3908 0.3926  8 Pd 2.80-2.92, 2 Cu 2.81, 1 Au 2.90
Au2 0.3046 0.6092 0.6074  8 Pd 2.80-2.92, 2 Cu 2.81, 1 Au 2.90
Au3 0.7646 0.5292 0.1080  10 Pd 2.70-3.00, 2 Au 2.90-2.98
Au4 0.2354 0.4708 0.8920  10 Pd 2.70-3.00, 2 Au 2.90-2.98
Au5 0.0000 0.0000 0.5000  10 Pd 2.78-2.93, 2 Au 2.98
Cu1 0.6832 0.0000 0.0000  8 Pd 2.62-2.72, 1 Cu 2.75, 2 Au 2.81
Cu2 0.3168 0.0000 0.0000  8 Pd 2.62-2.72, 1 Cu 2.75, 2 Au 2.81

calculated density: 12.799 g/cm³
spin magnetization: 0.00 μB/f.u.
V: 16.31 Å³ per atom

=====

#Q
Cu2Pd12Au5 after structural relaxation. Source: Alexandria via LeMat-Bulk, functional PBE.

Lattice parameters (Å, degrees): 5.5069 6.9457 9.2042 110.01 107.41 90.00
Closest atoms and distances in Å follow each position.
Atoms (fractional coordinates):
Pd1 0.6431 0.6220 0.7992  1 Cu 2.59, 4 Au 2.63-2.86, 5 Pd 2.68-2.87
Pd2 0.1561 0.6220 0.7992  1 Cu 2.59, 4 Au 2.63-2.86, 5 Pd 2.68-2.87
Pd3 0.4446 0.7958 0.3933  6 Pd 2.73-2.83, 4 Au 2.83-2.94
Pd4 0.1354 0.0593 0.2709  2 Cu 2.67, 3 Au 2.77-2.89, 4 Pd 2.79-2.87
Pd5 0.0513 0.2042 0.6067  6 Pd 2.73-2.83, 4 Au 2.83-2.94
Pd6 0.5554 0.2042 0.6067  6 Pd 2.73-2.83, 4 Au 2.83-2.94
Pd7 0.8646 0.9407 0.7291  2 Cu 2.67, 3 Au 2.77-2.89, 4 Pd 2.79-2.87
Pd8 0.4526 0.3034 0.9053  5 Pd 2.64-2.83, 1 Au 2.69, 2 Cu 2.86
Pd9 0.8439 0.3780 0.2008  1 Cu 2.59, 4 Au 2.63-2.86, 5 Pd 2.68-2.87
Pd10 0.3569 0.3780 0.2008  1 Cu 2.59, 4 Au 2.63-2.86, 5 Pd 2.68-2.87
Pd11 0.5474 0.6966 0.0947  5 Pd 2.64-2.83, 1 Au 2.69, 2 Cu 2.86
Pd12 0.9487 0.7958 0.3933  6 Pd 2.73-2.83, 4 Au 2.83-2.94
Au1 0.2457 0.4833 0.4913  3 Au 2.76-2.86, 9 Pd 2.78-2.94
Au2 0.7543 0.5167 0.5087  3 Au 2.76-2.86, 9 Pd 2.78-2.94
Au3 0.6503 0.0911 0.3005  9 Pd 2.69-2.86, 2 Cu 2.82, 1 Au 2.86
Au4 0.3497 0.9089 0.6995  9 Pd 2.69-2.86, 2 Cu 2.82, 1 Au 2.86
Au5 0.0000 0.5000 0.0000  4 Pd 2.63
Cu1 0.2585 0.0000 0.0000  6 Pd 2.59-2.86, 2 Cu 2.66-2.85, 2 Au 2.82
Cu2 0.7415 0.0000 0.0000  6 Pd 2.59-2.86, 2 Cu 2.66-2.85, 2 Au 2.82

calculated density: 12.650 g/cm³
spin magnetization: 0.00 μB/f.u.
V: 16.50 Å³ per atom

=====

Most stable one: #P, least stable one: #Q.

=====

#P
CuPd3Au6 after structural relaxation. Source: Alexandria via LeMat-Bulk, functional PBE.

Lattice parameters (Å, degrees): 2.8317 10.5657 13.2621 121.29 90.00 90.00
Closest atoms and distances in Å follow each position.
Atoms (fractional coordinates):
Pd1 0.7500 0.3807 0.8942  1 Cu 2.63, 7 Au 2.74-2.90, 2 Pd 2.83
Pd2 0.2500 0.8794 0.9071  6 Au 2.74-3.05, 4 Pd 2.83-2.84
Pd3 0.7500 0.1206 0.0929  6 Au 2.74-3.05, 4 Pd 2.83-2.84
Pd4 0.2500 0.6193 0.1058  1 Cu 2.63, 7 Au 2.74-2.90, 2 Pd 2.83
Pd5 0.2500 0.3820 0.5014  7 Au 2.80-3.04, 4 Pd 2.83-2.88
Pd6 0.7500 0.6180 0.4986  7 Au 2.80-3.04, 4 Pd 2.83-2.88
Au1 0.7500 0.1125 0.4758  3 Cu 2.73-2.93, 6 Au 2.83-2.97, 2 Pd 3.04
Au2 0.2500 0.1451 0.9004  6 Au 2.83-2.94, 5 Pd 2.85-3.05, 2 Cu 2.90
Au3 0.7500 0.8549 0.0996  6 Au 2.83-2.94, 5 Pd 2.85-3.05, 2 Cu 2.90
Au4 0.2500 0.3939 0.2954  5 Pd 2.80-3.08, 5 Au 2.82-2.88
Au5 0.7500 0.6061 0.7046  5 Pd 2.80-3.08, 5 Au 2.82-2.88
Au6 0.7500 0.3865 0.1034  4 Pd 2.74-2.82, 7 Au 2.83-2.94
Au7 0.7500 0.8818 0.7188  1 Cu 2.64, 3 Pd 2.80-2.88, 5 Au 2.82-2.93
Au8 0.2500 0.1182 0.2812  1 Cu 2.64, 3 Pd 2.80-2.88, 5 Au 2.82-2.93
Au9 0.7500 0.6707 0.3127  2 Cu 2.71, 3 Pd 2.80-2.88, 5 Au 2.83-2.91
Au10 0.2500 0.8875 0.5242  3 Cu 2.73-2.93, 6 Au 2.83-2.97, 2 Pd 3.04
Au11 0.2500 0.3293 0.6873  2 Cu 2.71, 3 Pd 2.80-2.88, 5 Au 2.83-2.91
Au12 0.2500 0.6135 0.8966  4 Pd 2.74-2.82, 7 Au 2.83-2.94
Cu1 0.2500 0.8816 0.3007  1 Pd 2.63, 8 Au 2.64-2.93, 2 Cu 2.83
Cu2 0.7500 0.1184 0.6993  1 Pd 2.63, 8 Au 2.64-2.93, 2 Cu 2.83

calculated density: 15.324 g/cm³
spin magnetization: 0.00 μB/f.u.
V: 16.95 Å³ per atom

=====

#Q
CuPd3Au6 after structural relaxation. Source: Alexandria via LeMat-Bulk, functional PBE.

Lattice parameters (Å, degrees): 7.5439 6.7772 7.0537 90.00 80.56 90.00
Closest atoms and distances in Å follow each position.
Atoms (fractional coordinates):
Au1 0.7804 0.3829 0.2049  4 Pd 2.81-2.89, 1 Cu 2.83, 5 Au 2.83-3.12
Au2 0.3118 0.7912 0.4215  1 Cu 2.54, 3 Pd 2.72-2.83, 1 Au 2.74
Au3 0.6609 0.1015 0.9571  1 Cu 2.71, 4 Pd 2.73-2.96, 5 Au 2.74-2.90
Au4 0.3391 0.8985 0.0429  1 Cu 2.71, 4 Pd 2.73-2.96, 5 Au 2.74-2.90
Au5 0.2196 0.6171 0.7951  4 Pd 2.81-2.89, 1 Cu 2.83, 5 Au 2.83-3.12
Au6 0.1609 0.3985 0.4571  1 Cu 2.71, 4 Pd 2.73-2.96, 5 Au 2.74-2.90
Au7 0.1882 0.2912 0.0785  1 Cu 2.54, 3 Pd 2.72-2.83, 1 Au 2.74
Au8 0.2804 0.1171 0.7049  4 Pd 2.81-2.89, 1 Cu 2.83, 5 Au 2.83-3.12
Au9 0.7196 0.8829 0.2951  4 Pd 2.81-2.89, 1 Cu 2.83, 5 Au 2.83-3.12
Au10 0.8391 0.6015 0.5429  1 Cu 2.71, 4 Pd 2.73-2.96, 5 Au 2.74-2.90
Au11 0.8118 0.7088 0.9215  1 Cu 2.54, 3 Pd 2.72-2.83, 1 Au 2.74
Au12 0.6882 0.2088 0.5785  1 Cu 2.54, 3 Pd 2.72-2.83, 1 Au 2.74
Cu1 0.0000 0.0000 0.0000  6 Au 2.54-2.83, 2 Pd 2.67
Cu2 0.5000 0.5000 0.5000  6 Au 2.54-2.83, 2 Pd 2.67
Pd1 0.4489 0.1697 0.3102  1 Cu 2.67, 9 Au 2.73-2.89
Pd2 0.5000 0.5000 0.0000  6 Au 2.72-2.96
Pd3 0.0511 0.6697 0.1898  1 Cu 2.67, 9 Au 2.73-2.89
Pd4 0.9489 0.3303 0.8102  1 Cu 2.67, 9 Au 2.73-2.89
Pd5 0.5511 0.8303 0.6898  1 Cu 2.67, 9 Au 2.73-2.89
Pd6 0.0000 0.0000 0.5000  6 Au 2.72-2.96

calculated density: 14.606 g/cm³
spin magnetization: 0.00 μB/f.u.
V: 17.79 Å³ per atom

=====

Most stable one: #P, least stable one: #Q.

=====

#P
Cu2Pd6Au after structural relaxation. Source: Alexandria via LeMat-Bulk, functional PBE.

Lattice parameters (Å, degrees): 3.9158 6.1948 6.1971 84.27 71.58 71.58
Closest atoms and distances in Å follow each position.
Atoms (fractional coordinates):
Pd1 0.0073 0.8248 0.1605  3 Cu 2.69-2.73, 8 Pd 2.72-2.84, 1 Au 2.76
Pd2 0.3322 0.1752 0.1605  3 Cu 2.69-2.73, 8 Pd 2.72-2.84, 1 Au 2.76
Pd3 0.6669 0.1661 0.5000  8 Pd 2.77-2.83, 2 Au 2.77, 2 Cu 2.79
Pd4 0.9927 0.1752 0.8395  3 Cu 2.69-2.73, 8 Pd 2.72-2.84, 1 Au 2.76
Pd5 0.6678 0.8248 0.8395  3 Cu 2.69-2.73, 8 Pd 2.72-2.84, 1 Au 2.76
Pd6 0.3331 0.8339 0.5000  8 Pd 2.77-2.83, 2 Au 2.77, 2 Cu 2.79
Cu1 0.3308 0.5000 0.8385  8 Pd 2.69-2.79, 2 Cu 2.73, 2 Au 2.79
Cu2 0.6692 0.5000 0.1615  8 Pd 2.69-2.79, 2 Cu 2.73, 2 Au 2.79
Au1 0.0000 0.5000 0.5000  8 Pd 2.76-2.77, 4 Cu 2.79

calculated density: 11.812 g/cm³
spin magnetization: 0.00 μB/f.u.
V: 15.04 Å³ per atom

=====

#Q
Cu2Pd6Au after structural relaxation. Source: Alexandria via LeMat-Bulk, functional PBE.

Lattice parameters (Å, degrees): 3.8729 8.3637 8.3649 90.00 90.00 90.00
Closest atoms and distances in Å follow each position.
Atoms (fractional coordinates):
Au1 0.0000 0.0000 0.5000  4 Cu 2.75, 8 Pd 2.78-2.81
Au2 0.5000 0.5000 0.0000  4 Cu 2.75, 8 Pd 2.78-2.81
Pd1 0.0000 0.6721 0.8279  4 Cu 2.73-2.82, 6 Pd 2.74-2.78, 2 Au 2.81
Pd2 0.5000 0.1721 0.6721  4 Cu 2.73-2.82, 6 Pd 2.74-2.78, 2 Au 2.81
Pd3 0.0000 0.3279 0.1721  4 Cu 2.73-2.82, 6 Pd 2.74-2.78, 2 Au 2.81
Pd4 0.5000 0.8279 0.3279  4 Cu 2.73-2.82, 6 Pd 2.74-2.78, 2 Au 2.81
Pd5 0.0000 0.9956 0.1674  8 Pd 2.74-2.80, 3 Cu 2.76-2.78, 1 Au 2.78
Pd6 0.5000 0.1674 0.0044  8 Pd 2.74-2.80, 3 Cu 2.76-2.78, 1 Au 2.78
Pd7 0.0000 0.3326 0.5044  8 Pd 2.74-2.80, 3 Cu 2.76-2.78, 1 Au 2.78
Pd8 0.5000 0.4956 0.3326  8 Pd 2.74-2.80, 3 Cu 2.76-2.78, 1 Au 2.78
Pd9 0.0000 0.6674 0.4956  8 Pd 2.74-2.80, 3 Cu 2.76-2.78, 1 Au 2.78
Pd10 0.5000 0.8326 0.9956  8 Pd 2.74-2.80, 3 Cu 2.76-2.78, 1 Au 2.78
Pd11 0.0000 0.0044 0.8326  8 Pd 2.74-2.80, 3 Cu 2.76-2.78, 1 Au 2.78
Pd12 0.5000 0.5044 0.6674  8 Pd 2.74-2.80, 3 Cu 2.76-2.78, 1 Au 2.78
Cu1 0.0000 0.6654 0.1654  10 Pd 2.73-2.82, 2 Au 2.75
Cu2 0.5000 0.1654 0.3346  10 Pd 2.73-2.82, 2 Au 2.75
Cu3 0.0000 0.3346 0.8346  10 Pd 2.73-2.82, 2 Au 2.75
Cu4 0.5000 0.8346 0.6654  10 Pd 2.73-2.82, 2 Au 2.75

calculated density: 11.798 g/cm³
spin magnetization: 0.00 μB/f.u.
V: 15.05 Å³ per atom

=====

Most stable one: #Q, least stable one: #P.

=====

#P
Cu8Pd2Au after structural relaxation. Source: Alexandria via LeMat-Bulk, functional PBE.

Lattice parameters (Å, degrees): 4.4978 6.7680 7.3353 62.53 72.56 49.50
Closest atoms and distances in Å follow each position.
Atoms (fractional coordinates):
Cu1 0.2422 0.6285 0.2687  6 Cu 2.44-2.71, 3 Pd 2.67-2.70
Cu2 0.5000 0.8000 0.4000  6 Cu 2.55-2.74, 4 Pd 2.58-2.71, 1 Au 2.60
Cu3 0.7578 0.3715 0.7313  6 Cu 2.44-2.71, 3 Pd 2.67-2.70
Cu4 0.2448 0.5031 0.0000  6 Cu 2.23-2.50
Cu5 0.7578 0.1028 0.2687  6 Cu 2.44-2.71, 3 Pd 2.67-2.70
Cu6 0.5000 0.2000 0.6000  6 Cu 2.55-2.74, 4 Pd 2.58-2.71, 1 Au 2.60
Cu7 0.2422 0.8972 0.7313  6 Cu 2.44-2.71, 3 Pd 2.67-2.70
Cu8 0.7552 0.4969 0.0000  6 Cu 2.23-2.50
Pd1 0.0000 0.6833 0.6334  12 Cu 2.58-2.71
Pd2 0.0000 0.3167 0.3666  12 Cu 2.58-2.71
Au1 0.5000 0.0000 0.0000  6 Cu 2.60-2.81

calculated density: 10.121 g/cm³
spin magnetization: 0.00 μB/f.u.
V: 13.69 Å³ per atom

=====

#Q
Cu8Pd2Au after structural relaxation. Source: Alexandria via LeMat-Bulk, functional PBE.

Lattice parameters (Å, degrees): 3.9127 6.8913 6.8913 111.19 106.38 106.38
Closest atoms and distances in Å follow each position.
Atoms (fractional coordinates):
Cu1 0.8142 0.4193 0.0329  6 Cu 2.46-2.65, 3 Pd 2.53-2.54, 1 Au 2.57
Cu2 0.3164 0.8827 0.5758  8 Cu 2.57-2.70, 1 Au 2.67, 3 Pd 2.68-2.70
Cu3 0.0900 0.1665 0.8357  7 Cu 2.46-2.70, 2 Au 2.72
Cu4 0.3164 0.5758 0.8827  8 Cu 2.57-2.70, 1 Au 2.67, 3 Pd 2.68-2.70
Cu5 0.0321 0.4453 0.4453  6 Cu 2.59-2.80, 4 Pd 2.61-2.62, 1 Au 2.82
Cu6 0.8275 0.7403 0.7403  8 Cu 2.58-2.80, 2 Pd 2.60, 2 Au 2.75-2.77
Cu7 0.8142 0.0329 0.4193  6 Cu 2.46-2.65, 3 Pd 2.53-2.54, 1 Au 2.57
Cu8 0.0900 0.8357 0.1665  7 Cu 2.46-2.70, 2 Au 2.72
Pd1 0.5411 0.6064 0.3011  9 Cu 2.53-2.70
Pd2 0.5411 0.3011 0.6064  9 Cu 2.53-2.70
Au1 0.6167 0.0280 0.0280  11 Cu 2.57-2.82

calculated density: 10.155 g/cm³
spin magnetization: 0.00 μB/f.u.
V: 13.65 Å³ per atom

=====

Most stable one: #Q, least stable one: #P.